This record from the Alexandria database describes an optimized crystal structure of Th2BeInPt6. The functional is PBE.

Computed properties:
The energy of formation is -0.81 eV per atom. The magnetic moment is 0.0 μB per formula unit. The value obtained for the density is 13884 kg/m3.

Lattice parameters (Å, degrees): 5.861 7.837 7.836 43.93 68.02 89.99
Sites, in units of the cell vectors:
Th 0.738 0.262 0.524
Th 0.262 0.738 0.476
Be 0.000 0.000 0.000
In 0.500 0.500 0.000
Pt 0.234 0.279 0.531
Pt 0.721 0.766 0.045
Pt 0.234 0.766 0.045
Pt 0.766 0.234 0.955
Pt 0.279 0.234 0.955
Pt 0.766 0.721 0.469